# 1
DFT (PBE-GGA) results for a relaxed Nd4Te2PS crystal.

Cell: 7.331 4.240 7.691 Å, 90.00 108.57 90.00°
Element x y z (fractional)
Nd  0.234  0.000  0.211
Nd  0.261  0.500  0.790
Nd  0.739  0.500  0.210
Nd  0.766  0.000  0.789
Te  0.000  0.000  0.500
Te  0.500  0.500  0.500
P  0.000  0.500  0.000
S  0.500  0.000  0.000

Calculated values
Symmetry: P2/m
ΔE_f (raw): -1.67 eV per atom
Density: 6.56 g cm⁻³
Energy: -6.03 eV/atom

***

# 2
DFT (PBE-GGA) results for a relaxed Nd6TeP2S3 crystal.

Cell: 9.320 9.320 8.416 Å, 102.28 102.28 25.80°
Element x y z (fractional)
Nd  0.005  0.005  0.279
Nd  0.324  0.324  0.899
Nd  0.331  0.331  0.421
Nd  0.669  0.669  0.579
Nd  0.676  0.676  0.101
Nd  0.995  0.995  0.721
Te  0.500  0.500  0.000
P  0.168  0.168  0.335
P  0.832  0.832  0.665
S  0.163  0.163  0.835
S  0.500  0.500  0.500
S  0.837  0.837  0.165

Calculated values
Symmetry: C2/m
ΔE_f (raw): -1.79 eV per atom
Density: 6.16 g cm⁻³
Energy: -6.37 eV/atom

***

# 3
DFT (PBE-GGA) results for a relaxed Nd4TePS2 crystal.

Cell: 7.219 4.170 7.421 Å, 90.00 108.99 90.00°
Element x y z (fractional)
Nd  0.229  0.000  0.218
Nd  0.247  0.500  0.770
Nd  0.753  0.500  0.230
Nd  0.771  0.000  0.782
Te  0.500  0.500  0.500
P  0.500  0.000  0.000
S  0.000  0.000  0.500
S  0.000  0.500  0.000

Calculated values
Symmetry: P2/m
ΔE_f (raw): -1.76 eV per atom
Density: 6.29 g cm⁻³
Energy: -6.25 eV/atom

***

# 4
DFT (PBE-GGA) results for a relaxed Nd4TeP2S crystal.

Cell: 6.000 6.000 11.985 Å, 90.00 90.00 90.00°
Element x y z (fractional)
Nd  0.000  0.000  0.236
Nd  0.000  0.000  0.764
Nd  0.000  0.500  0.507
Nd  0.000  0.500  0.993
Nd  0.500  0.000  0.007
Nd  0.500  0.000  0.493
Nd  0.500  0.500  0.264
Nd  0.500  0.500  0.736
Te  0.000  0.000  0.500
Te  0.500  0.500  0.000
P  0.000  0.000  0.000
P  0.000  0.500  0.750
P  0.500  0.000  0.250
P  0.500  0.500  0.500
S  0.000  0.500  0.250
S  0.500  0.000  0.750

Calculated values
Symmetry: I-4m2
ΔE_f (raw): -1.63 eV per atom
Density: 6.15 g cm⁻³
Energy: -6.28 eV/atom